Record 1
DFT (PBE-GGA) results for Ce5Pd2Pt2 after structural relaxation.

```
18
Lattice="-8.6147 3.5744 3.7434 8.6147 -3.5744 3.7434 8.6147 3.5744 -3.7434" Properties=species:S:1:pos:R:3 pbc="T T T"
Ce 4.3073 2.6752 -1.5663
Ce 1.1805 1.2612 0.0000
Ce 7.4342 1.2612 0.0000
Ce 4.3073 0.8992 2.1772
Ce 11.2734 2.3136 1.0271
Ce 5.9559 -1.2608 4.7705
Ce 2.6587 4.8352 1.0271
Ce -2.6587 1.2608 4.7705
Ce 1.1805 2.3132 3.7434
Ce 7.4342 2.3132 3.7434
Pd 0.0000 3.5744 1.3704
Pd 0.0000 0.0000 5.1138
Pd -4.3073 3.4357 3.2454
Pd 4.3073 3.7131 3.2454
Pt 1.3783 -0.2614 2.4370
Pt 7.2363 -0.2614 2.4370
Pt 7.2363 3.8358 -1.3064
Pt 9.9930 0.2614 2.4370
```


Record 2
DFT (PBE-GGA) results for CePdPt4 after structural relaxation.

```
6
Lattice="0.0000 3.7832 3.7832 3.7832 0.0000 3.7832 3.7832 3.7832 0.0000" Properties=species:S:1:pos:R:3 pbc="T T T"
Ce 0.0000 0.0000 0.0000
Pd 5.6748 5.6748 5.6748
Pt 2.8405 2.8405 2.8405
Pt 4.7259 4.7259 2.8405
Pt 4.7259 2.8405 4.7259
Pt 2.8405 4.7259 4.7259
```


Record 3
DFT (PBE-GGA) results for CePdPt after structural relaxation.

```
6
Lattice="5.1385 -1.9647 0.0000 5.1385 1.9647 0.0000 -3.9506 0.0000 6.1273" Properties=species:S:1:pos:R:3 pbc="T T T"
Ce -0.6392 0.0000 1.7890
Ce 6.9655 0.0000 4.3382
Pd -0.2391 0.0000 5.8431
Pd 6.5654 0.0000 0.2842
Pt 2.1658 0.0000 2.1059
Pt 4.1605 0.0000 4.0214
```


| no. | energy relative to the elements (kJ/mol of formula units) |
| --- | --- |
| 1 | -579.2 |
| 2 | -416.5 |
| 3 | -250.4 |